# 1
A plane-wave DFT calculation with PBE was carried out for crystalline InGa2Cu2 at its relaxed geometry.

Values from the calculation:
D(E_F): 1.782 states/eV/f.u.
Symmetry: No. 127
Total magnetization: 0.00 μB/f.u.
Formation energy: 0.0573 eV/atom
Volume: 16.8 A^3/atom

Cell: 7.892 7.892 2.705 Å, 90.00 90.00 90.00°
Fractional coordinates of all 10 atoms:
In: 0.000 0.000 0.000
In: 0.500 0.500 0.000
Ga: 0.128 0.372 0.000
Ga: 0.372 0.872 0.000
Ga: 0.628 0.128 0.000
Ga: 0.872 0.628 0.000
Cu: 0.167 0.667 0.500
Cu: 0.333 0.167 0.500
Cu: 0.667 0.833 0.500
Cu: 0.833 0.333 0.500

***

# 2
A plane-wave DFT calculation with PBE was carried out for crystalline TiMn2RhC at its relaxed geometry.

Values from the calculation:
D(E_F): 4.255 states/eV/f.u.
Symmetry: No. 123
Total magnetization: 2.46 μB/f.u.
Formation energy: -0.2558 eV/atom
Volume: 11.9 A^3/atom

Cell: 3.788 3.788 4.163 Å, 90.00 90.00 90.00°
Fractional coordinates of all 5 atoms:
Ti: 0.000 0.000 0.000
Mn: 0.000 0.500 0.500
Mn: 0.500 0.000 0.500
Rh: 0.500 0.500 0.000
C: 0.000 0.000 0.500

***

# 3
A plane-wave DFT calculation with PBE was carried out for crystalline Al2NiBi at its relaxed geometry.

Values from the calculation:
D(E_F): 2.347 states/eV/f.u.
Symmetry: No. 122
Total magnetization: 0.00 μB/f.u.
Formation energy: 0.0980 eV/atom
Volume: 21.3 A^3/atom

Cell: 8.729 8.729 8.729 Å, 149.52 149.52 43.65°
Fractional coordinates of all 8 atoms:
Al: 0.011 0.625 0.886
Al: 0.375 0.261 0.386
Al: 0.739 0.125 0.114
Al: 0.875 0.989 0.614
Ni: 0.000 0.000 0.000
Ni: 0.750 0.250 0.500
Bi: 0.250 0.750 0.500
Bi: 0.500 0.500 0.000